1) ScTiPt | PBE-GGA | relaxed

Results
- space group = I4mm (107)

Unit cell a=5.5372 b=5.5372 c=5.5372 alpha=145.78 beta=145.78 gamma=49.18
Atoms (fractional coordinates):
1 Sc 0.0000 0.0000 0.0000
2 Ti 0.3139 0.3139 0.0000
3 Pt 0.6709 0.6709 0.0000

=====

2) ScTiPt | PBE-GGA | relaxed

Results
- space group = C2/m (12)

Unit cell a=5.4731 b=5.4731 c=6.6036 alpha=107.62 beta=107.62 gamma=34.65
Atoms (fractional coordinates):
1 Sc 0.1529 0.1529 0.3196
2 Sc 0.8471 0.8471 0.6804
3 Ti 0.1624 0.1624 0.8399
4 Ti 0.8376 0.8376 0.1601
5 Pt 0.5000 0.5000 0.0000
6 Pt 0.5000 0.5000 0.5000

=====

Most stable: 2)

=====

1) Tm2ScPt3 | PBE-GGA | relaxed

Results
- space group = Immm (71)

Unit cell a=6.8352 b=6.8352 c=6.8352 alpha=146.12 beta=131.48 gamma=60.50
Atoms (fractional coordinates):
1 Tm 0.1714 0.1714 0.0000
2 Tm 0.8286 0.8286 0.0000
3 Sc 0.5000 0.5000 0.0000
4 Pt 0.0000 0.5000 0.5000
5 Pt 0.3448 0.8448 0.5000
6 Pt 0.6552 0.1552 0.5000

=====

2) Tm2ScPt3 | PBE-GGA | relaxed

Results
- space group = Pmmn (59)

Unit cell a=4.8316 b=14.6059 c=3.3404 alpha=90.00 beta=90.00 gamma=90.00
Atoms (fractional coordinates):
1 Tm 0.2500 0.0837 0.0020
2 Tm 0.2500 0.4163 0.0020
3 Tm 0.7500 0.5837 0.9980
4 Tm 0.7500 0.9163 0.9980
5 Sc 0.2500 0.7500 0.9978
6 Sc 0.7500 0.2500 0.0022
7 Pt 0.2500 0.2500 0.5011
8 Pt 0.2500 0.5943 0.4972
9 Pt 0.2500 0.9057 0.4972
10 Pt 0.7500 0.0943 0.5028
11 Pt 0.7500 0.4057 0.5028
12 Pt 0.7500 0.7500 0.4989

=====

Most stable: 2)

=====

1) Tm2Sc3Pt4 | PBE-GGA | relaxed

Results
- space group = P2_1/c (14)

Unit cell a=7.2890 b=7.3662 c=7.3407 alpha=90.00 beta=110.55 gamma=90.00
Atoms (fractional coordinates):
1 Tm 0.1913 0.1746 0.0661
2 Tm 0.1913 0.3254 0.5661
3 Tm 0.8087 0.6746 0.4339
4 Tm 0.8087 0.8254 0.9339
5 Sc 0.2481 0.6648 0.2460
6 Sc 0.2481 0.8352 0.7460
7 Sc 0.5000 0.0000 0.5000
8 Sc 0.5000 0.5000 0.0000
9 Sc 0.7519 0.1648 0.2540
10 Sc 0.7519 0.3352 0.7540
11 Pt 0.0832 0.5426 0.8491
12 Pt 0.0832 0.9574 0.3491
13 Pt 0.4951 0.1379 0.8669
14 Pt 0.4951 0.3621 0.3669
15 Pt 0.5049 0.6379 0.6331
16 Pt 0.5049 0.8621 0.1331
17 Pt 0.9168 0.0426 0.6509
18 Pt 0.9168 0.4574 0.1509

=====

2) Tm2Sc3Pt4 | PBE-GGA | relaxed

Results
- space group = Cmce (64)

Unit cell a=8.9264 b=8.9264 c=7.3732 alpha=90.00 beta=90.00 gamma=141.05
Atoms (fractional coordinates):
1 Tm 0.0973 0.9027 0.9088
2 Tm 0.4027 0.5973 0.4088
3 Tm 0.5973 0.4027 0.5912
4 Tm 0.9027 0.0973 0.0912
5 Sc 0.0000 0.0000 0.5000
6 Sc 0.0178 0.4822 0.7500
7 Sc 0.4822 0.0178 0.2500
8 Sc 0.5000 0.5000 0.0000
9 Sc 0.5178 0.9822 0.7500
10 Sc 0.9822 0.5178 0.2500
11 Pt 0.1670 0.8330 0.5433
12 Pt 0.1822 0.3178 0.7500
13 Pt 0.3178 0.1822 0.2500
14 Pt 0.3330 0.6670 0.0433
15 Pt 0.6670 0.3330 0.9567
16 Pt 0.6822 0.8178 0.7500
17 Pt 0.8178 0.6822 0.2500
18 Pt 0.8330 0.1670 0.4567

=====

Most stable: 1)

=====

1) TmSc2Pt | PBE-GGA | relaxed

Results
- space group = Cmcm (63)

Unit cell a=5.9754 b=5.9754 c=7.4670 alpha=90.00 beta=90.00 gamma=135.37
Atoms (fractional coordinates):
1 Tm 0.0522 0.9478 0.7500
2 Tm 0.9478 0.0522 0.2500
3 Sc 0.3478 0.6522 0.5444
4 Sc 0.3478 0.6522 0.9556
5 Sc 0.6522 0.3478 0.0444
6 Sc 0.6522 0.3478 0.4556
7 Pt 0.2016 0.7984 0.2500
8 Pt 0.7984 0.2016 0.7500

=====

2) TmSc2Pt | PBE-GGA | relaxed

Results
- space group = P4/mmm (123)

Unit cell a=3.3784 b=3.3784 c=7.9301 alpha=90.00 beta=90.00 gamma=90.00
Atoms (fractional coordinates):
1 Tm 0.0000 0.0000 0.0000
2 Sc 0.5000 0.5000 0.3036
3 Sc 0.5000 0.5000 0.6964
4 Pt 0.0000 0.0000 0.5000

=====

Most stable: 1)

=====

1) TmSc2Pt | PBE-GGA | relaxed

Results
- space group = R-3m (166)

Unit cell a=9.3285 b=9.3285 c=9.3285 alpha=21.93 beta=21.93 gamma=21.93
Atoms (fractional coordinates):
1 Tm 0.0000 0.0000 0.0000
2 Sc 0.2301 0.2301 0.2301
3 Sc 0.7699 0.7699 0.7699
4 Pt 0.5000 0.5000 0.5000

=====

2) TmSc2Pt | PBE-GGA | relaxed

Results
- space group = Pnma (62)

Unit cell a=6.7510 b=9.0694 c=6.1047 alpha=90.00 beta=90.00 gamma=90.00
Atoms (fractional coordinates):
1 Tm 0.0176 0.2500 0.1156
2 Tm 0.4824 0.7500 0.6156
3 Tm 0.5176 0.2500 0.3844
4 Tm 0.9824 0.7500 0.8844
5 Sc 0.1783 0.0564 0.6786
6 Sc 0.1783 0.4436 0.6786
7 Sc 0.3217 0.5564 0.1786
8 Sc 0.3217 0.9436 0.1786
9 Sc 0.6783 0.0564 0.8214
10 Sc 0.6783 0.4436 0.8214
11 Sc 0.8217 0.5564 0.3214
12 Sc 0.8217 0.9436 0.3214
13 Pt 0.1062 0.7500 0.4402
14 Pt 0.3938 0.2500 0.9402
15 Pt 0.6062 0.7500 0.0598
16 Pt 0.8938 0.2500 0.5598

=====

Most stable: 2)

=====

1) Tm2ScPt | PBE-GGA | relaxed

Results
- space group = P4/mmm (123)

Unit cell a=3.5231 b=3.5231 c=7.7247 alpha=90.00 beta=90.00 gamma=90.00
Atoms (fractional coordinates):
1 Tm 0.0000 0.0000 0.2105
2 Tm 0.0000 0.0000 0.7895
3 Sc 0.5000 0.5000 0.5000
4 Pt 0.5000 0.5000 0.0000

=====

2) Tm2ScPt | PBE-GGA | relaxed

Results
- space group = R-3m (166)

Unit cell a=9.4417 b=9.4417 c=9.4417 alpha=22.20 beta=22.20 gamma=22.20
Atoms (fractional coordinates):
1 Tm 0.2336 0.2336 0.2336
2 Tm 0.7664 0.7664 0.7664
3 Sc 0.0000 0.0000 0.0000
4 Pt 0.5000 0.5000 0.5000

=====

3) Tm2ScPt | PBE-GGA | relaxed

Results
- space group = Cmcm (63)

Unit cell a=6.2858 b=6.2858 c=8.9316 alpha=90.00 beta=90.00 gamma=146.22
Atoms (fractional coordinates):
1 Tm 0.1344 0.8656 0.5618
2 Tm 0.1344 0.8656 0.9382
3 Tm 0.8656 0.1344 0.0618
4 Tm 0.8656 0.1344 0.4382
5 Sc 0.4346 0.5654 0.7500
6 Sc 0.5654 0.4346 0.2500
7 Pt 0.2441 0.7559 0.2500
8 Pt 0.7559 0.2441 0.7500

=====

Most stable: 3)

=====

1) Sc3VPt | PBE-GGA | relaxed

Results
- space group = Pm-3m (221)

Unit cell a=4.7085 b=4.7085 c=4.7085 alpha=90.00 beta=90.00 gamma=90.00
Atoms (fractional coordinates):
1 Sc 0.0000 0.0000 0.5000
2 Sc 0.0000 0.5000 0.0000
3 Sc 0.5000 0.0000 0.0000
4 V 0.0000 0.0000 0.0000
5 Pt 0.5000 0.5000 0.5000

=====

2) Sc3VPt | PBE-GGA | relaxed

Results
- space group = Pm-3m (221)

Unit cell a=5.0604 b=5.0604 c=5.0604 alpha=90.00 beta=90.00 gamma=90.00
Atoms (fractional coordinates):
1 Sc 0.0000 0.0000 0.5000
2 Sc 0.0000 0.5000 0.0000
3 Sc 0.5000 0.0000 0.0000
4 V 0.5000 0.5000 0.5000
5 Pt 0.0000 0.0000 0.0000

=====

Most stable: 2)

=====

1) ScPt2W2 | PBE-GGA | relaxed

Results
- space group = I4/mmm (139)

Unit cell a=7.2135 b=7.2135 c=7.2135 alpha=150.49 beta=150.49 gamma=42.22
Atoms (fractional coordinates):
1 Sc 0.0000 0.0000 0.0000
2 Pt 0.4040 0.4040 0.0000
3 Pt 0.5960 0.5960 0.0000
4 W 0.2500 0.7500 0.5000
5 W 0.7500 0.2500 0.5000

=====

2) ScPt2W2 | PBE-GGA | relaxed

Results
- space group = P4/mbm (127)

Unit cell a=7.8740 b=7.8740 c=2.7809 alpha=90.00 beta=90.00 gamma=90.00
Atoms (fractional coordinates):
1 Sc 0.0000 0.0000 0.0000
2 Sc 0.5000 0.5000 0.0000
3 Pt 0.1232 0.3768 0.0000
4 Pt 0.3768 0.8768 0.0000
5 Pt 0.6232 0.1232 0.0000
6 Pt 0.8768 0.6232 0.0000
7 W 0.1751 0.6751 0.5000
8 W 0.3249 0.1751 0.5000
9 W 0.6751 0.8249 0.5000
10 W 0.8249 0.3249 0.5000

=====

Most stable: 1)